# 1
MnHRuAu GGA-PBE optimized geometry; SG = Imm2; N(E_F) = 3.6 states/eV per cell; offset from the most stable computed form = 163 meV per atom
1.0
-1.3714 1.9620 4.3515
1.3714 -1.9620 4.3515
1.3714 1.9620 -4.3515
Mn H Ru Au
1 1 1 1
Direct
0.0000 0.0000 0.0000
0.8723 0.3723 0.5000
0.6346 0.6346 0.0000
0.3135 0.3135 0.0000


# 2
LuZn2Ga GGA-PBE optimized geometry; energy relative to the elements = -330.5 meV per atom; SG = P4/mmm; N(E_F) = 3.3 states/eV per cell
1.0
4.1324 0.0000 0.0000
0.0000 4.1324 0.0000
0.0000 0.0000 4.2940
Lu Zn Ga
1 2 1
Direct
0.0000 0.0000 0.0000
0.0000 0.5000 0.5000
0.5000 0.0000 0.5000
0.5000 0.5000 0.0000


# 3
SrSbAsI2 GGA-PBE optimized geometry; SG = P4/mmm; formation energy without anion corrections = 174 meV per atom; N(E_F) = 0.4 states/eV per cell; offset from the most stable computed form = 456 meV per atom
1.0
6.1903 0.0000 0.0000
0.0000 6.1903 0.0000
0.0000 0.0000 7.5347
Sr Sb As I
1 1 1 2
Direct
0.0000 0.0000 0.0000
0.0000 0.0000 0.5000
0.5000 0.5000 0.5000
0.0000 0.5000 0.0000
0.5000 0.0000 0.0000